No. 1
Entry from Alexandria via LeMat-Bulk: a geometry-optimized Mn2PdS4 structure (PBE).

a = 6.9787 Å, b = 6.9805 Å, c = 6.9787 Å
α = 120.00°, β = 119.99°, γ = 90.00°
Each line ends with the local moment (μB).
Positions (direct):
Mn (0.6250, 0.8750, 0.2500)  2.81
Pd (0.2500, 0.7500, 0.5000)  -0.13
S (0.3868, 0.6131, 0.7736)  -0.07
S (0.8632, 0.1369, 0.7264)  -0.07
S (0.3869, 0.6132, 0.2263)  -0.07
Mn (0.6250, 0.3750, 0.7500)  2.80
Mn (0.6249, 0.3750, 0.2500)  2.80
S (0.4105, 0.1369, 0.2737)  -0.07
S (0.8631, 0.1368, 0.2737)  -0.07
S (0.8395, 0.6131, 0.2263)  -0.07
Mn (0.1250, 0.3750, 0.7500)  2.81
S (0.8632, 0.5895, 0.7264)  -0.07
Pd (0.0000, 0.0000, 0.9999)  -0.13
S (0.3868, 0.1605, 0.7736)  -0.07

Results
The final energy is -6.2505 eV/atom. The uncorrected formation energy comes out at -0.5302 eV per atom. For the density of states at the Fermi level, the calculation gives 5.9 states/eV per cell. As for the total magnetization: 0.774 μB per atom. The value obtained for the volume is 17.2 Å³ per atom. The space group is No. 227.

=====

No. 2
Entry from Alexandria via LeMat-Bulk: a geometry-optimized Li6Sc structure (PBE).

a = 5.7906 Å, b = 5.7906 Å, c = 5.7906 Å
α = 109.47°, β = 109.47°, γ = 109.47°
Positions (direct):
Li (0.2500, 0.5000, 0.7500)
Li (0.7500, 0.5000, 0.2500)
Li (0.5000, 0.7500, 0.2500)
Li (0.5000, 0.2500, 0.7500)
Sc (0.0000, 0.0000, 0.0000)
Li (0.2500, 0.7500, 0.5000)
Li (0.7500, 0.2500, 0.5000)

Results
The final energy is -2.0640 eV/atom. For the density of states at the Fermi level, the calculation gives 8.7 states/eV per cell. As for the total magnetization: 0.001 μB per atom. The value obtained for the volume is 21.4 Å³ per atom. The formation energy comes out at 481 meV per atom. The space group is No. 229.